The following is a DFT calculation (PBE) of a geometry-optimized Ac2GaSn3 structure.

Output
D(E_F) = 3.21 states/eV per cell
ΔE_f = -0.55 eV per atom
distance to the lowest polymorph of the same formula = 0.000 eV/f.u.

Cell lengths 4.517, 4.656, 8.909 Å; angles 90.00, 90.00, 90.00 degrees
Fractional positions:
Ac  0.000  0.000  0.000
Ac  0.000  0.500  0.486
Ga  0.500  0.000  0.328
Sn  0.500  0.000  0.637
Sn  0.500  0.500  0.174
Sn  0.500  0.500  0.834